[1]
Here is a geometry-optimized SiRu structure from Alexandria. Energies are from GGA-PBE.

```
SiRu
1.0
5.2384 0.0018 -0.0009
2.9238 4.3466 0.0009
-3.7213 -2.8495 2.3395
Ru Si
2 2
direct
0.3629 0.6129 0.2500
0.6371 0.3871 0.7500
0.8650 0.1150 0.2500
0.1350 0.8850 0.7500
```

Calculated values
**Total energy**: -7.735 eV per atom
**M_tot**: 0.00 Bohr magnetons per cell
**Energy relative to the elements, uncorrected**: -0.385 eV per atom



[2]
Here is a geometry-optimized Tc3BiN structure from Alexandria. Energies are from GGA-PBE.

```
Tc3BiN
1.0
5.1564 0.0000 0.0000
0.0000 5.1564 0.0000
0.0000 0.0000 5.1564
N Bi Tc
1 1 3
direct
0.5000 0.5000 0.5000
0.0000 0.0000 0.0000
0.0000 0.5000 0.0000
0.0000 0.0000 0.5000
0.5000 0.0000 0.0000
```

Calculated values
**Total energy**: -5.134 eV per atom
**M_tot**: 8.95 Bohr magnetons per cell
**Energy relative to the elements, uncorrected**: 3.527 eV per atom



[3]
Here is a geometry-optimized Ag2SbHPd structure from Alexandria. Energies are from GGA-PBE.

```
Ag2SbHPd
1.0
-1.6763 3.9767 -0.2840
-1.6889 -0.4292 3.9583
3.4818 1.5861 1.6576
Sb Pd Ag H
1 1 2 1
direct
0.5000 0.5000 0.5000
0.0000 0.0000 0.5000
0.0000 0.5000 0.0000
0.5000 0.0000 0.0000
0.0000 0.0000 0.0000
```

Calculated values
**Total energy**: -3.623 eV per atom
**M_tot**: 0.00 Bohr magnetons per cell



[4]
Here is a geometry-optimized PrZn8Pd4 structure from Alexandria. Energies are from GGA-PBE.

```
PrZn8Pd4
1.0
5.4887 0.0000 0.0000
2.7443 6.2609 0.0000
2.7443 0.0000 6.2609
Pr Zn Pd
1 8 4
direct
0.0000 0.0000 0.0000
0.0000 0.3503 0.6497
0.0000 0.6497 0.3503
0.3503 0.6497 0.6497
0.6497 0.3503 0.3503
0.5000 0.7809 0.2191
0.5000 0.2191 0.7809
0.2809 0.2191 0.2191
0.7191 0.7809 0.7809
0.0000 0.0000 0.5000
0.5000 0.0000 0.5000
0.0000 0.5000 0.0000
0.5000 0.5000 0.0000
```

Calculated values
**Total energy**: -3.196 eV per atom
**Formation energy**: -0.45 eV/atom
**M_tot**: 0.00 Bohr magnetons per cell



[5]
Here is a geometry-optimized CrRhI structure from Alexandria. Energies are from GGA-PBE.

```
CrRhI
1.0
-1.6923 -3.2889 -0.3664
3.4159 0.1817 1.4442
-4.1615 1.0597 9.7094
Cr I Rh
2 2 2
direct
0.5008 0.0016 0.0000
0.1654 0.3309 0.5000
0.8328 0.6655 0.6905
0.8328 0.6655 0.3095
0.1674 0.3349 0.1211
0.1674 0.3349 0.8789
```

Calculated values
**Total energy**: -5.740 eV per atom
**M_tot**: 3.81 Bohr magnetons per cell
**Energy relative to the elements, uncorrected**: 0.435 eV per atom



[6]
Here is a geometry-optimized ZrTa2Cl structure from Alexandria. Energies are from GGA-PBE.

```
ZrTa2Cl
1.0
-2.5470 1.7560 -0.5819
-2.0626 -1.7920 3.6203
2.0141 3.9496 3.1025
Cl Ta Zr
1 2 1
direct
0.0000 0.5000 0.5000
0.0000 0.0000 0.0000
0.5000 0.5000 0.0000
0.5000 0.0000 0.5000
```

Calculated values
**Total energy**: -8.206 eV per atom
**M_tot**: 0.00 Bohr magnetons per cell
**Energy relative to the elements, uncorrected**: 0.319 eV per atom



[7]
Here is a geometry-optimized Ta2InBr structure from Alexandria. Energies are from GGA-PBE.

```
Ta2InBr
1.0
-2.4071 -1.5205 0.9880
0.0344 -1.6801 -2.5017
6.0366 -6.6152 4.5258
In Br Ta
1 1 2
direct
0.5000 0.5000 0.8001
0.0000 0.0000 0.4277
0.0000 0.0000 0.0303
0.5000 0.5000 0.2419
```

Calculated values
**Total energy**: -6.828 eV per atom
**M_tot**: 0.00 Bohr magnetons per cell
**Energy relative to the elements, uncorrected**: 0.201 eV per atom



[8]
Here is a geometry-optimized AcErGaGe structure from Alexandria. Energies are from GGA-PBE.

```
AcErGaGe
1.0
5.2877 0.0000 0.0000
2.6438 4.5793 0.0000
2.6438 1.5264 4.3174
Ac Ge Ga Er
1 1 1 1
direct
0.5000 0.5000 0.5000
0.2500 0.2500 0.2500
0.7500 0.7500 0.7500
0.0000 0.0000 0.0000
```

Calculated values
**Total energy**: -4.568 eV per atom
**Formation energy**: -0.49 eV/atom
**M_tot**: 0.00 Bohr magnetons per cell



[9]
Here is a geometry-optimized CeHoSe structure from Alexandria. Energies are from GGA-PBE.

```
CeHoSe
1.0
3.8517 0.0000 0.0000
0.0000 4.9160 0.0000
0.0000 -2.4580 4.2574
Se Ho Ce
1 1 1
direct
0.1671 0.3333 0.6667
0.1665 0.0000 0.0000
0.6664 0.6667 0.3333
```

Calculated values
**Total energy**: -5.294 eV per atom
**M_tot**: 1.92 Bohr magnetons per cell
**Energy relative to the elements, uncorrected**: -0.629 eV per atom



[10]
Here is a geometry-optimized KBa2La structure from Alexandria. Energies are from GGA-PBE.

```
KBa2La
1.0
-2.4862 1.8512 2.7068
-0.1821 -3.4695 2.2055
10.5466 3.9062 7.0157
Ba K La
2 1 1
direct
0.0000 0.0000 0.9769
0.5000 0.5000 0.2370
0.0000 0.0000 0.5183
0.5000 0.5000 0.7678
```

Calculated values
**Total energy**: -2.236 eV per atom
**Formation energy**: 0.23 eV/atom
**M_tot**: 1.01 Bohr magnetons per cell



[11]
Here is a geometry-optimized GdMg2Cd structure from Alexandria. Energies are from GGA-PBE.

```
GdMg2Cd
1.0
-0.7192 3.3235 -0.2468
-0.4877 -0.3547 -3.3556
-8.2302 -1.6790 1.3736
Mg Gd Cd
2 1 1
direct
0.0000 0.0000 0.7826
0.0000 0.0000 0.2174
0.5000 0.5000 0.5000
0.5000 0.5000 0.0000
```

Calculated values
**Total energy**: -4.665 eV per atom
**Formation energy**: -0.12 eV/atom
**M_tot**: 7.63 Bohr magnetons per cell



[12]
Here is a geometry-optimized LaNdVN3 structure from Alexandria. Energies are from GGA-PBE.

```
LaNdVN3
1.0
-0.0245 1.8872 3.4173
-4.8364 -4.9246 0.4551
6.1478 -3.2468 1.8372
La Nd V N
2 2 2 6
direct
0.6446 0.2893 0.5724
0.3554 0.7107 0.4276
0.3536 0.7072 0.9269
0.6464 0.2928 0.0731
0.9995 0.9990 0.2374
0.0005 0.0010 0.7627
0.8449 0.6899 0.1702
0.8457 0.6914 0.6754
0.4998 0.9996 0.2420
0.1543 0.3086 0.3246
0.5002 0.0004 0.7580
0.1551 0.3101 0.8298
```

Calculated values
**Total energy**: -8.544 eV per atom
**M_tot**: 0.00 Bohr magnetons per cell
**Energy relative to the elements, uncorrected**: -1.245 eV per atom